No. 1
Crystalline La2BAs at its relaxed geometry, computed with PBE.

Values from the calculation:
D(E_F) ... 6.0 states/eV/f.u.
E above lowest polymorph ... 1.40 kcal/mol of atoms
Uncorrected energy ... -22.1 eV per formula unit

a = 7.205 Å, b = 7.205 Å, c = 7.205 Å
α = 90.00°, β = 90.00°, γ = 90.00°
Space group Fm-3m (No. 225)
Inequivalent atoms, fractional coordinates:
La 0.250 0.250 0.250 (multiplicity 8)
B 0.000 0.000 0.000 (multiplicity 4)
As 0.000 0.000 0.500 (multiplicity 4)

***

No. 2
Crystalline Pm4ThAg5 at its relaxed geometry, computed with PBE.

Values from the calculation:
D(E_F) ... 7.8 states/eV/f.u.
Uncorrected energy ... -42.9 eV per formula unit

a = 3.696 Å, b = 3.696 Å, c = 19.018 Å
α = 90.00°, β = 90.00°, γ = 90.00°
Space group P4/mmm (No. 123)
Inequivalent atoms, fractional coordinates:
Pm 0.000 0.000 0.100 (multiplicity 2)
Pm 0.000 0.000 0.298 (multiplicity 2)
Th 0.000 0.000 0.500 (multiplicity 1)
Ag 0.500 0.500 0.000 (multiplicity 1)
Ag 0.500 0.500 0.199 (multiplicity 2)
Ag 0.500 0.500 0.396 (multiplicity 2)